Record 1
# LaPSe2 (GGA-PBE, relaxed)
data_LaPSe2
_space_group_name_H-M_alt 'I m m m'
_space_group_IT_number 71
_space_group_name_Hall '-I 2 2'
_cell_length_a 3.9256
_cell_length_b 5.3210
_cell_length_c 8.6506
_cell_angle_alpha 90.00
_cell_angle_beta 90.00
_cell_angle_gamma 90.00
loop_
_atom_site_label
_atom_site_fract_x
_atom_site_fract_y
_atom_site_fract_z
La1 0.0000 0.0000 0.0000
P1 0.0000 0.0000 0.5000
Se1 0.0000 0.5000 0.1954
# VASP energy, eV/atom: -5.33
# Formation energy from raw total energies, eV/atom: -1.001

---

Record 2
# Ar (GGA-PBE, relaxed)
data_Ar
_space_group_name_H-M_alt 'F m -3 m'
_space_group_IT_number 225
_space_group_name_Hall '-F 4 2 3'
_cell_length_a 5.6468
_cell_length_b 5.6468
_cell_length_c 5.6468
_cell_angle_alpha 90.00
_cell_angle_beta 90.00
_cell_angle_gamma 90.00
loop_
_atom_site_label
_atom_site_fract_x
_atom_site_fract_y
_atom_site_fract_z
Ar1 0.0000 0.0000 0.0000
# VASP energy, eV/atom: -0.06
# DFT formation energy, eV/atom: 0.000

---

Record 3
# Li7Tl2Au (GGA-PBE, relaxed)
data_Li7Tl2Au
_space_group_name_H-M_alt 'P 3 m 1'
_space_group_IT_number 156
_cell_length_a 4.5378
_cell_length_b 4.5378
_cell_length_c 10.5571
_cell_angle_alpha 90.00
_cell_angle_beta 90.00
_cell_angle_gamma 120.00
loop_
_space_group_symop_operation_xyz
'x,y,z'
'-y,x-y,z'
'-x+y,-x,z'
'-y,-x,z'
'-x+y,y,z'
'x,x-y,z'
loop_
_atom_site_label
_atom_site_fract_x
_atom_site_fract_y
_atom_site_fract_z
Li1 0.0000 0.0000 0.0000
Li2 0.0000 0.0000 0.2280
Li3 0.0000 0.0000 0.4758
Li4 0.3333 0.6667 0.0452
Li5 0.3333 0.6667 0.6134
Li6 0.6667 0.3333 0.4151
Li7 0.6667 0.3333 0.8721
Tl1 0.0000 0.0000 0.7374
Tl2 0.3333 0.6667 0.3232
Au1 0.6667 0.3333 0.1340
# VASP energy, eV/atom: -2.34
# DFT formation energy, eV/atom: -0.200

---

Record 4
# P2RuSO (GGA-PBE, relaxed)
data_P2RuSO
_space_group_name_H-M_alt 'P 4/m m m'
_space_group_IT_number 123
_space_group_name_Hall '-P 4 2'
_cell_length_a 4.5712
_cell_length_b 4.5712
_cell_length_c 4.4326
_cell_angle_alpha 90.00
_cell_angle_beta 90.00
_cell_angle_gamma 90.00
loop_
_atom_site_label
_atom_site_fract_x
_atom_site_fract_y
_atom_site_fract_z
P1 0.0000 0.5000 0.0000
Ru1 0.0000 0.0000 0.0000
S1 0.0000 0.0000 0.5000
O1 0.5000 0.5000 0.5000
# Energy relative to the lowest polymorph listed for this composition, meV per atom: 728.8
# VASP energy, eV/atom: -4.85
# Formation energy from raw total energies, eV/atom: 0.984

---

Record 5
# CeSmYTc (GGA-PBE, relaxed)
data_CeSmYTc
_space_group_name_H-M_alt 'R 3 m'
_space_group_IT_number 160
_space_group_name_Hall 'R 3 -2"'
_cell_length_a 4.4061
_cell_length_b 4.4061
_cell_length_c 20.6573
_cell_angle_alpha 90.00
_cell_angle_beta 90.00
_cell_angle_gamma 120.00
loop_
_atom_site_label
_atom_site_fract_x
_atom_site_fract_y
_atom_site_fract_z
Ce1 0.0000 0.0000 0.0000
Sm1 0.0000 0.0000 0.7697
Y1 0.0000 0.0000 0.5607
Tc1 0.0000 0.0000 0.3398
# VASP energy, eV/atom: -6.73
# DFT formation energy, eV/atom: 0.141

---

Record 6
# Ti3NCl (GGA-PBE, relaxed)
data_Ti3NCl
_space_group_name_H-M_alt 'P m -3 m'
_space_group_IT_number 221
_space_group_name_Hall '-P 4 2 3'
_cell_length_a 4.1962
_cell_length_b 4.1962
_cell_length_c 4.1962
_cell_angle_alpha 90.00
_cell_angle_beta 90.00
_cell_angle_gamma 90.00
loop_
_atom_site_label
_atom_site_fract_x
_atom_site_fract_y
_atom_site_fract_z
Ti1 0.0000 0.0000 0.5000
N1 0.0000 0.0000 0.0000
Cl1 0.5000 0.5000 0.5000
# Energy relative to the lowest polymorph listed for this composition, meV per atom: 0.0
# VASP energy, eV/atom: -7.12
# Formation energy from raw total energies, eV/atom: -0.351

---

Record 7
# Sr2GaN3 (GGA-PBE, relaxed)
data_Sr2GaN3
_space_group_name_H-M_alt 'C m c m'
_space_group_IT_number 63
_space_group_name_Hall '-C 2c 2'
_cell_length_a 12.4993
_cell_length_b 5.8021
_cell_length_c 5.7695
_cell_angle_alpha 90.00
_cell_angle_beta 90.00
_cell_angle_gamma 90.00
loop_
_atom_site_label
_atom_site_fract_x
_atom_site_fract_y
_atom_site_fract_z
Sr1 0.1494 0.2375 0.2500
Ga1 0.0000 0.2274 0.7500
N1 0.0000 0.0000 0.0000
N2 0.1467 0.3196 0.7500
# VASP energy, eV/atom: -5.43
# Formation energy from raw total energies, eV/atom: -0.204

---

Record 8
# SrCu6Ni2 (GGA-PBE, relaxed)
data_SrCu6Ni2
_space_group_name_H-M_alt 'I m m m'
_space_group_IT_number 71
_space_group_name_Hall '-I 2 2'
_cell_length_a 4.0603
_cell_length_b 6.6121
_cell_length_c 10.6665
_cell_angle_alpha 90.00
_cell_angle_beta 90.00
_cell_angle_gamma 90.00
loop_
_atom_site_label
_atom_site_fract_x
_atom_site_fract_y
_atom_site_fract_z
Sr1 0.0000 0.0000 0.0000
Cu1 0.0000 0.1701 0.5000
Cu2 0.0000 0.1850 0.2820
Ni1 0.0000 0.5000 0.1205
# VASP energy, eV/atom: -4.00
# DFT formation energy, eV/atom: 0.200

---

Record 9
# ScAlW (GGA-PBE, relaxed)
data_ScAlW
_space_group_name_H-M_alt 'I 4 m m'
_space_group_IT_number 107
_space_group_name_Hall 'I 4 -2'
_cell_length_a 3.3817
_cell_length_b 3.3817
_cell_length_c 9.3113
_cell_angle_alpha 90.00
_cell_angle_beta 90.00
_cell_angle_gamma 90.00
loop_
_atom_site_label
_atom_site_fract_x
_atom_site_fract_y
_atom_site_fract_z
Sc1 0.0000 0.0000 0.0000
Al1 0.0000 0.0000 0.6880
W1 0.0000 0.0000 0.3242
# Energy relative to the lowest polymorph listed for this composition, meV per atom: 272.9
# VASP energy, eV/atom: -7.63
# DFT formation energy, eV/atom: 0.045

---

Record 10
# CoBiAuSe2 (GGA-PBE, relaxed)
data_CoBiAuSe2
_space_group_name_H-M_alt 'P 4/m m m'
_space_group_IT_number 123
_space_group_name_Hall '-P 4 2'
_cell_length_a 5.5569
_cell_length_b 5.5569
_cell_length_c 5.2603
_cell_angle_alpha 90.00
_cell_angle_beta 90.00
_cell_angle_gamma 90.00
loop_
_atom_site_label
_atom_site_fract_x
_atom_site_fract_y
_atom_site_fract_z
Co1 0.0000 0.0000 0.0000
Bi1 0.5000 0.5000 0.5000
Au1 0.5000 0.5000 0.0000
Se1 0.0000 0.5000 0.5000
# VASP energy, eV/atom: -3.14
# Formation energy from raw total energies, eV/atom: 1.111

---

Record 11
# Nb2SbBr2 (GGA-PBE, relaxed)
data_Nb2SbBr2
_space_group_name_H-M_alt 'P 4/m b m'
_space_group_IT_number 127
_space_group_name_Hall '-P 4 2ab'
_cell_length_a 8.2041
_cell_length_b 8.2041
_cell_length_c 3.2598
_cell_angle_alpha 90.00
_cell_angle_beta 90.00
_cell_angle_gamma 90.00
loop_
_atom_site_label
_atom_site_fract_x
_atom_site_fract_y
_atom_site_fract_z
Nb1 0.1157 0.3843 0.0000
Sb1 0.0000 0.0000 0.0000
Br1 0.1506 0.6506 0.5000
# VASP energy, eV/atom: -5.17
# Formation energy from raw total energies, eV/atom: 0.356

---

Record 12
# RbTlSiF6 (GGA-PBE, relaxed)
data_RbTlSiF6
_space_group_name_H-M_alt 'C 1 2 1'
_space_group_IT_number 5
_cell_length_a 6.2622
_cell_length_b 10.9334
_cell_length_c 5.0565
_cell_angle_alpha 90.00
_cell_angle_beta 90.06
_cell_angle_gamma 90.00
loop_
_space_group_symop_operation_xyz
'x,y,z'
'-x,y,-z'
'x+1/2,y+1/2,z'
'-x+1/2,y+1/2,-z'
loop_
_atom_site_label
_atom_site_fract_x
_atom_site_fract_y
_atom_site_fract_z
Rb1 0.0000 0.0000 0.0000
Tl1 0.0000 0.6673 0.5000
Si1 0.0000 0.3323 0.0000
F1 0.1082 0.4453 0.8033
F2 0.1155 0.2214 0.8029
F3 0.2266 0.3297 0.1955
# VASP energy, eV/atom: -5.06
# Formation energy from raw total energies, eV/atom: -2.842

---

Record 13
# Be2TcP (GGA-PBE, relaxed)
data_Be2TcP
_space_group_name_H-M_alt 'P 1 21/m 1'
_space_group_IT_number 11
_cell_length_a 4.2285
_cell_length_b 4.5904
_cell_length_c 4.5478
_cell_angle_alpha 90.00
_cell_angle_beta 96.40
_cell_angle_gamma 90.00
loop_
_space_group_symop_operation_xyz
'x,y,z'
'-x,-y,-z'
'-x,y+1/2,-z'
'x,-y+1/2,z'
loop_
_atom_site_label
_atom_site_fract_x
_atom_site_fract_y
_atom_site_fract_z
Be1 0.2426 0.0027 0.3718
Tc1 0.3175 0.2500 0.8483
P1 0.1640 0.7500 0.8961
# VASP energy, eV/atom: -6.10
# DFT formation energy, eV/atom: -0.296

---

Record 14
# ZrTcSe (GGA-PBE, relaxed)
data_ZrTcSe
_space_group_name_H-M_alt 'F -4 3 m'
_space_group_IT_number 216
_space_group_name_Hall 'F -4 2 3'
_cell_length_a 6.1624
_cell_length_b 6.1624
_cell_length_c 6.1624
_cell_angle_alpha 90.00
_cell_angle_beta 90.00
_cell_angle_gamma 90.00
loop_
_atom_site_label
_atom_site_fract_x
_atom_site_fract_y
_atom_site_fract_z
Zr1 0.0000 0.0000 0.0000
Tc1 0.2500 0.2500 0.7500
Se1 0.0000 0.0000 0.5000
# Energy relative to the lowest polymorph listed for this composition, meV per atom: 365.7
# VASP energy, eV/atom: -7.65
# Formation energy from raw total energies, eV/atom: -0.181

---

Record 15
# Ru3RhW3 (GGA-PBE, relaxed)
data_Ru3RhW3
_space_group_name_H-M_alt 'P 21 3'
_space_group_IT_number 198
_space_group_name_Hall 'P 2ac 2ab 3'
_cell_length_a 7.5992
_cell_length_b 7.5992
_cell_length_c 7.5992
_cell_angle_alpha 90.00
_cell_angle_beta 90.00
_cell_angle_gamma 90.00
loop_
_atom_site_label
_atom_site_fract_x
_atom_site_fract_y
_atom_site_fract_z
Ru1 0.0821 0.4179 0.5821
Ru2 0.1167 0.1167 0.1167
Ru3 0.2142 0.7858 0.2858
Rh1 0.0924 0.5924 0.9076
W1 0.0640 0.7882 0.6199
# VASP energy, eV/atom: -10.31
# DFT formation energy, eV/atom: 0.265

---

Record 16
# BeCrSe2 (GGA-PBE, relaxed)
data_BeCrSe2
_space_group_name_H-M_alt 'I m m m'
_space_group_IT_number 71
_space_group_name_Hall '-I 2 2'
_cell_length_a 3.3625
_cell_length_b 3.6859
_cell_length_c 13.2836
_cell_angle_alpha 90.00
_cell_angle_beta 90.00
_cell_angle_gamma 90.00
loop_
_atom_site_label
_atom_site_fract_x
_atom_site_fract_y
_atom_site_fract_z
Be1 0.0000 0.0000 0.0000
Cr1 0.0000 0.0000 0.5000
Se1 0.0000 0.5000 0.3766
# VASP energy, eV/atom: -5.31
# Formation energy from raw total energies, eV/atom: -0.227

---

Record 17
# RhPb6Au (GGA-PBE, relaxed)
data_RhPb6Au
_space_group_name_H-M_alt 'C 1 2/m 1'
_space_group_IT_number 12
_cell_length_a 6.7324
_cell_length_b 11.2836
_cell_length_c 6.6681
_cell_angle_alpha 90.00
_cell_angle_beta 115.49
_cell_angle_gamma 90.00
loop_
_space_group_symop_operation_xyz
'x,y,z'
'-x,-y,-z'
'-x,y,-z'
'x,-y,z'
'x+1/2,y+1/2,z'
'-x+1/2,-y+1/2,-z'
'-x+1/2,y+1/2,-z'
'x+1/2,-y+1/2,z'
loop_
_atom_site_label
_atom_site_fract_x
_atom_site_fract_y
_atom_site_fract_z
Rh1 0.0000 0.0000 0.0000
Pb1 0.2341 0.1966 0.2449
Pb2 0.2470 0.5000 0.2275
Au1 0.0000 0.5000 0.5000
# VASP energy, eV/atom: -4.05
# DFT formation energy, eV/atom: 0.059

---

Record 18
# Ac5Ag2RhN (GGA-PBE, relaxed)
data_Ac5Ag2RhN
_space_group_name_H-M_alt 'C m c 21'
_space_group_IT_number 36
_cell_length_a 4.2856
_cell_length_b 19.1768
_cell_length_c 14.2731
_cell_angle_alpha 90.00
_cell_angle_beta 90.00
_cell_angle_gamma 90.00
loop_
_space_group_symop_operation_xyz
'x,y,z'
'-x,-y,z+1/2'
'-x,y,z'
'x,-y,z+1/2'
'x+1/2,y+1/2,z'
'-x+1/2,-y+1/2,z+1/2'
'-x+1/2,y+1/2,z'
'x+1/2,-y+1/2,z+1/2'
loop_
_atom_site_label
_atom_site_fract_x
_atom_site_fract_y
_atom_site_fract_z
Ac1 0.0000 0.0036 0.0000
Ac2 0.0000 0.1453 0.2311
Ac3 0.0000 0.1846 0.6044
Ac4 0.0000 0.2127 0.8915
Ac5 0.0000 0.4559 0.2329
Ag1 0.0000 0.3689 0.5492
Ag2 0.0000 0.3882 0.9072
Rh1 0.0000 0.2943 0.2497
N1 0.0000 0.0559 0.6453
# VASP energy, eV/atom: -5.20
# Formation energy from raw total energies, eV/atom: -0.539

---

Record 19
# Rb6ZrF12 (GGA-PBE, relaxed)
data_Rb6ZrF12
_space_group_name_H-M_alt 'R -3'
_space_group_IT_number 148
_space_group_name_Hall '-R 3'
_cell_length_a 11.8200
_cell_length_b 11.8200
_cell_length_c 11.0381
_cell_angle_alpha 90.00
_cell_angle_beta 90.00
_cell_angle_gamma 120.00
loop_
_atom_site_label
_atom_site_fract_x
_atom_site_fract_y
_atom_site_fract_z
Rb1 0.0714 0.5943 0.3187
Zr1 0.0000 0.0000 0.0000
F1 0.0456 0.8837 0.8973
F2 0.0706 0.8174 0.3943
# VASP energy, eV/atom: -4.68
# Formation energy from raw total energies, eV/atom: -2.738

---

Record 20
# Tm3TlRh (GGA-PBE, relaxed)
data_Tm3TlRh
_space_group_name_H-M_alt 'C 1 2/m 1'
_space_group_IT_number 12
_cell_length_a 14.5444
_cell_length_b 4.7782
_cell_length_c 9.2039
_cell_angle_alpha 90.00
_cell_angle_beta 126.11
_cell_angle_gamma 90.00
loop_
_space_group_symop_operation_xyz
'x,y,z'
'-x,-y,-z'
'-x,y,-z'
'x,-y,z'
'x+1/2,y+1/2,z'
'-x+1/2,-y+1/2,-z'
'-x+1/2,y+1/2,-z'
'x+1/2,-y+1/2,z'
loop_
_atom_site_label
_atom_site_fract_x
_atom_site_fract_y
_atom_site_fract_z
Tm1 0.0942 0.0000 0.4355
Tm2 0.1306 0.5000 0.7698
Tm3 0.1367 0.5000 0.2134
Tl1 0.0989 0.0000 0.9694
Rh1 0.2222 0.5000 0.5863
# Energy relative to the lowest polymorph listed for this composition, meV per atom: 15.8
# VASP energy, eV/atom: -5.12
# DFT formation energy, eV/atom: -0.492